--- a ---
Entry from Alexandria: NpNiRh after structural relaxation (PBE-GGA).

Unit cell a=4.908 b=5.179 c=5.179 alpha=62.76 beta=61.72 gamma=61.72
Each line ends with the local moment (μB).
Sites, in units of the cell vectors:
Rh 0.500 0.500 0.000  -0.24
Rh 0.500 0.000 0.500  -0.24
Ni 0.500 0.000 0.000  -0.17
Ni 0.000 0.000 0.000  -0.17
Np 0.130 0.620 0.620  3.64
Np 0.870 0.380 0.380  3.64

As for the space group: Imma, No. 74. The magnetization is 6.9 μB per cell. The mass density comes out at 13.60 g/cm3. As for the density of states at the Fermi level: 2.451 states/eV/atom.


--- b ---
Entry from Alexandria: NpNiRh after structural relaxation (PBE-GGA).

Unit cell a=3.359 b=3.359 c=5.045 alpha=109.45 beta=109.45 gamma=90.00
Each line ends with the local moment (μB).
Sites, in units of the cell vectors:
Ni 0.995 0.995 0.991  -0.19
Rh 0.340 0.340 0.680  -0.21
Np 0.664 0.664 0.329  3.33

As for the space group: I4mm, No. 107. The magnetization is 3.1 μB per cell. The mass density comes out at 13.18 g/cm3. As for the density of states at the Fermi level: 2.589 states/eV/atom.


--- c ---
Entry from Alexandria: NpNiRh after structural relaxation (PBE-GGA).

Unit cell a=3.079 b=4.377 c=4.377 alpha=120.00 beta=90.00 gamma=90.00
Each line ends with the local moment (μB).
Sites, in units of the cell vectors:
Np 0.000 0.000 0.000  3.50
Ni 0.500 0.667 0.333  -0.33
Rh 0.500 0.333 0.667  -0.31

As for the space group: P-6m2, No. 187. The magnetization is 3.1 μB per cell. The mass density comes out at 12.96 g/cm3. As for the density of states at the Fermi level: 2.862 states/eV/atom.


Quick one: least stable of them? b


--- a ---
Entry from Alexandria: NpNi2Ru after structural relaxation (PBE-GGA).

Unit cell a=4.385 b=4.385 c=4.386 alpha=60.01 beta=60.01 gamma=60.00
Each line ends with the local moment (μB).
Sites, in units of the cell vectors:
Ru 0.000 0.000 0.000  -0.54
Np 0.500 0.500 0.500  2.96
Ni 0.250 0.250 0.251  -0.28
Ni 0.750 0.750 0.749  -0.28

As for the space group: Fm-3m, No. 225. The magnetization is 2.0 μB per cell. The mass density comes out at 12.68 g/cm3. As for the density of states at the Fermi level: 2.173 states/eV/atom.


--- b ---
Entry from Alexandria: NpNi2Ru after structural relaxation (PBE-GGA).

Unit cell a=4.011 b=3.810 c=3.810 alpha=90.00 beta=90.00 gamma=90.00
Each line ends with the local moment (μB).
Sites, in units of the cell vectors:
Np 0.500 0.500 0.500  2.43
Ni 0.000 0.000 0.500  -0.20
Ni 0.000 0.500 0.000  -0.20
Ru 0.500 0.000 0.000  -0.50

As for the space group: P4/mmm, No. 123. The magnetization is 1.6 μB per cell. The mass density comes out at 12.99 g/cm3. As for the density of states at the Fermi level: 1.748 states/eV/atom.


Quick one: least stable of them? a


--- a ---
Entry from Alexandria: NpNiS2 after structural relaxation (PBE-GGA).

Unit cell a=3.801 b=3.801 c=6.908 alpha=74.03 beta=74.03 gamma=60.00
Each line ends with the local moment (μB).
Sites, in units of the cell vectors:
Np 0.488 0.488 0.535  3.48
S 0.060 0.060 0.820  -0.08
S 0.233 0.233 0.300  -0.12
Ni 0.718 0.718 0.846  -0.21

As for the space group: R3m, No. 160. The magnetization is 3.2 μB per cell. The mass density comes out at 7.29 g/cm3. As for the density of states at the Fermi level: 1.972 states/eV/atom.


--- b ---
Entry from Alexandria: NpNiS2 after structural relaxation (PBE-GGA).

Unit cell a=3.843 b=3.844 c=6.950 alpha=73.95 beta=73.95 gamma=60.00
Each line ends with the local moment (μB).
Sites, in units of the cell vectors:
Np 0.722 0.167 0.731  3.67
S 0.129 0.574 0.510  -0.12
S 0.594 0.039 0.116  -0.11
Ni 0.259 0.704 0.121  -0.41

As for the space group: R3m, No. 160. The magnetization is 3.3 μB per cell. The mass density comes out at 7.09 g/cm3. As for the density of states at the Fermi level: 2.141 states/eV/atom.


--- c ---
Entry from Alexandria: NpNiS2 after structural relaxation (PBE-GGA).

Unit cell a=4.115 b=3.649 c=5.378 alpha=70.17 beta=88.45 gamma=90.00
Each line ends with the local moment (μB).
Sites, in units of the cell vectors:
Np 0.572 0.511 0.978  3.56
S 0.071 0.974 0.053  -0.12
S 0.550 0.230 0.540  -0.12
Ni 0.307 0.786 0.429  -0.38

As for the space group: Cm, No. 8. The magnetization is 3.1 μB per cell. The mass density comes out at 7.87 g/cm3. As for the density of states at the Fermi level: 2.240 states/eV/atom.


Quick one: least stable of them? b


--- a ---
Entry from Alexandria: NpNiTe after structural relaxation (PBE-GGA).

Unit cell a=4.526 b=4.526 c=4.526 alpha=60.00 beta=60.00 gamma=60.00
Each line ends with the local moment (μB).
Sites, in units of the cell vectors:
Np 0.000 0.000 0.000  3.94
Ni 0.250 0.250 0.250  -0.12
Te 0.500 0.500 0.500  -0.03

As for the space group: F-43m, No. 216. The magnetization is 4.1 μB per cell. The mass density comes out at 10.72 g/cm3. As for the density of states at the Fermi level: 3.665 states/eV/atom.


--- b ---
Entry from Alexandria: NpNiTe after structural relaxation (PBE-GGA).

Unit cell a=4.113 b=4.262 c=4.262 alpha=120.00 beta=90.00 gamma=90.00
Each line ends with the local moment (μB).
Sites, in units of the cell vectors:
Np 0.694 0.667 0.333  4.04
Te 0.208 0.333 0.667  -0.04
Ni 0.099 0.000 0.000  0.00

As for the space group: P3m1, No. 156. The magnetization is 4.5 μB per cell. The mass density comes out at 10.87 g/cm3. As for the density of states at the Fermi level: 3.064 states/eV/atom.


Quick one: least stable of them? a